[1]
This record from Alexandria describes Ir3RhN after structural relaxation. The functional is PBEsol.

Values from the calculation:
uncorrected energy: -8.551 eV/atom
DOS(E_F): 7.52 states/eV/cell
total moment: 0.003 μB per cell
ρ: 17.677 g/cm3
SG: No. 221

Cell and atoms, written as POSCAR:
```
Ir3RhN
1.0
-1.797 -3.593 0.224
0.948 -0.714 -3.845
3.473 -1.664 1.166
Ir N Rh
3 1 1
Direct
0.000 0.000 0.500
0.000 0.500 0.000
0.500 0.000 0.000
0.000 0.000 0.000
0.500 0.500 0.500
```



[2]
This record from Alexandria describes IrRhN3 after structural relaxation. The functional is PBEsol.

Values from the calculation:
uncorrected energy: -7.124 eV/atom
DOS(E_F): 4.76 states/eV/cell
total moment: 0.003 μB per cell
ρ: 10.071 g/cm3
SG: No. 221

Cell and atoms, written as POSCAR:
```
IrRhN3
1.0
-3.682 -0.784 -0.625
0.383 -3.298 1.882
-0.926 1.753 3.261
N Rh Ir
3 1 1
Direct
0.500 0.000 0.000
0.000 0.000 0.500
0.000 0.500 0.000
0.500 0.500 0.500
0.000 0.000 0.000
```



[3]
This record from Alexandria describes SbIrS2N after structural relaxation. The functional is PBEsol.

Values from the calculation:
uncorrected energy: -6.074 eV/atom
DOS(E_F): 2.70 states/eV/cell
total moment: 0.000 μB per cell
ρ: 7.581 g/cm3
SG: No. 123

Cell and atoms, written as POSCAR:
```
SbIrS2N
1.0
-1.505 1.971 -2.697
-3.220 -3.530 -0.784
-3.020 2.048 3.182
N Sb S Ir
1 1 2 1
Direct
0.500 0.000 0.000
0.500 0.500 0.500
0.000 0.500 0.000
0.000 0.000 0.500
0.000 0.000 0.000
```



[4]
This record from Alexandria describes IrSe2SN after structural relaxation. The functional is PBEsol.

Values from the calculation:
uncorrected energy: -5.044 eV/atom
DOS(E_F): 2.58 states/eV/cell
total moment: 0.000 μB per cell
ρ: 8.948 g/cm3
SG: No. 123

Cell and atoms, written as POSCAR:
```
IrSe2SN
1.0
-0.687 3.037 0.609
-2.100 -1.303 4.131
4.205 0.492 2.292
N Se S Ir
1 2 1 1
Direct
0.500 0.000 0.000
0.000 0.000 0.500
0.000 0.500 0.000
0.000 0.000 0.000
0.500 0.500 0.500
```